(1)
! NpNi3H3 | Alexandria | PBE-GGA | optimized geometry; values from VASP
! **Total magnetization**: 6.8 μB/cell
! **Density of states at the Fermi level**: 28.86 states/eV/cell
! **Energy**: -5.38 eV/atom
! **Volume**: 11.0 A^3/atom
&SYSTEM
  ibrav = 0, nat = 14, ntyp = 3
/
ATOMIC_SPECIES
Np 237.00 Np.upf
Ni 58.69 Ni.upf
H 1.01 H.upf
CELL_PARAMETERS angstrom
5.218 0.000 3.013
1.739 4.920 3.013
0.000 0.000 6.025
ATOMIC_POSITIONS crystal
Np 0.250 0.250 0.250
Np 0.750 0.750 0.750
Ni 0.196 0.804 0.804
Ni 0.196 0.804 0.196
Ni 0.196 0.196 0.804
Ni 0.804 0.196 0.804
Ni 0.804 0.196 0.196
Ni 0.804 0.804 0.196
H 0.367 0.633 0.367
H 0.367 0.633 0.633
H 0.367 0.367 0.633
H 0.633 0.367 0.633
H 0.633 0.367 0.367
H 0.633 0.633 0.367

(2)
! NpNiH | Alexandria | PBE-GGA | optimized geometry; values from VASP
! **Offset from the most stable computed form**: 271 meV per atom
! **Total magnetization**: 3.8 μB/cell
! **Density of states at the Fermi level**: 6.05 states/eV/cell
! **Energy**: -7.04 eV/atom
! **Volume**: 13.6 A^3/atom
&SYSTEM
  ibrav = 0, nat = 3, ntyp = 3
/
ATOMIC_SPECIES
Np 237.00 Np.upf
Ni 58.69 Ni.upf
H 1.01 H.upf
CELL_PARAMETERS angstrom
3.021 0.000 0.000
0.000 3.021 0.000
-1.511 -1.511 4.468
ATOMIC_POSITIONS crystal
Np 0.377 0.377 0.754
Ni 0.666 0.666 0.333
H 0.956 0.956 0.913